Tb4Pr3Dy2: relaxed, PBE.

It has space group C2/c (No. 15), with a = 16.4318 Å, b = 11.8170 Å, c = 6.1841 Å, α = 90.00°, β = 97.38° and γ = 90.00°. The inequivalent atoms are Tb at (0.0584, 0.1215, 0.0367), Tb at (0.2242, 0.3785, 0.8708), Pr at (0.0000, 0.3619, 0.7500), Pr at (0.1671, 0.1366, 0.5825) and Dy at (0.1081, 0.3798, 0.2975).

As for the energy: -4.58 eV/atom. The calculation puts the density of states at the Fermi level at 56.9 states/eV per cell. Its formation energy is 0.097 eV per atom.